(1)
Computed, not measured: a relaxed Tb2MnZn crystal at the PBE level of DFT.

The space group is R-3m (No. 166, hexagonal axes) and the conventional cell measures 3.2986, 3.2986 and 31.6875 Å, with angles of 90.00, 90.00 and 120.00 degrees. Symmetry generates all atoms from Tb at (0.0000, 0.0000, 0.0915), Mn at (0.0000, 0.0000, 0.0000) and Zn at (0.0000, 0.0000, 0.5000).

The calculation puts the total energy at -4.46 eV per atom. For the energy of formation, the calculation gives 0.468 eV per atom.

(2)
Computed, not measured: a relaxed LiTaSb crystal at the PBE level of DFT.

The space group is P3m1 (No. 156) and the conventional cell measures 4.4569, 4.4569 and 3.0801 Å, with angles of 90.00, 90.00 and 120.00 degrees. Symmetry generates all atoms from Li at (0.0000, 0.0000, 0.0000), Ta at (0.6667, 0.3333, 0.5009) and Sb at (0.3333, 0.6667, 0.0020).

The formation energy (no corrections) is 0.23 eV per atom. The calculation puts the total energy at -5.73 eV per atom.

(3)
Computed, not measured: a relaxed BaSn2Pb3 crystal at the PBE level of DFT.

The space group is C2/m (No. 12) and the conventional cell measures 19.195, 5.229 and 8.650 Å, with angles of 90.00, 112.07 and 90.00 degrees. Symmetry generates all atoms from Ba at (0.124, 0.000, 0.171), Sn at (0.016, 0.500, 0.846), Sn at (0.234, 0.000, 0.633), Pb at (0.065, 0.000, 0.694), Pb at (0.130, 0.500, 0.508) and Pb at (0.194, 0.500, 0.931).

The calculation puts the total energy at -3.75 eV per atom. For the energy of formation, the calculation gives -0.246 eV per atom.

(4)
Computed, not measured: a relaxed YTmTlZn crystal at the PBE level of DFT.

The space group is F-43m (No. 216) and the conventional cell measures 7.351, 7.351 and 7.351 Å, with angles of 90.00, 90.00 and 90.00 degrees. Symmetry generates all atoms from Y at (0.000, 0.000, 0.000), Tm at (0.000, 0.000, 0.500), Tl at (0.250, 0.250, 0.250) and Zn at (0.250, 0.250, 0.750).

The calculation puts the total energy at -3.97 eV per atom. For the energy of formation, the calculation gives -0.328 eV per atom.

(5)
Computed, not measured: a relaxed Rb2HoInO4 crystal at the PBE level of DFT.

The space group is P2/m (No. 10) and the conventional cell measures 5.957, 3.447 and 6.845 Å, with angles of 90.00, 107.33 and 90.00 degrees. Symmetry generates all atoms from Rb at (0.000, 0.000, 0.000), Rb at (0.500, 0.500, 0.000), Ho at (0.000, 0.500, 0.500), In at (0.500, 0.000, 0.500), O at (0.225, 0.000, 0.678) and O at (0.279, 0.500, 0.324).

The formation energy (no corrections) is -2.08 eV per atom. The calculation puts the total energy at -5.71 eV per atom.

(6)
Computed, not measured: a relaxed La2Os2Pd crystal at the PBE level of DFT.

The space group is I4/mmm (No. 139) and the conventional cell measures 5.724, 5.724 and 7.555 Å, with angles of 90.00, 90.00 and 90.00 degrees. Symmetry generates all atoms from La at (0.000, 0.500, 0.250), Os at (0.000, 0.000, 0.160) and Pd at (0.000, 0.000, 0.500).

The calculation puts the total energy at -7.25 eV per atom. For the energy of formation, the calculation gives 0.252 eV per atom.

(7)
Computed, not measured: a relaxed Tm5SbRu2 crystal at the PBE level of DFT.

The space group is I4/mcm (No. 140) and the conventional cell measures 7.622, 7.622 and 13.372 Å, with angles of 90.00, 90.00 and 90.00 degrees. Symmetry generates all atoms from Tm at (0.000, 0.000, 0.000), Tm at (0.156, 0.344, 0.134), Sb at (0.000, 0.000, 0.250) and Ru at (0.140, 0.360, 0.500).

The formation energy (no corrections) is -0.58 eV per atom. The calculation puts the total energy at -6.21 eV per atom.

(8)
Computed, not measured: a relaxed BeW2Se crystal at the PBE level of DFT.

The space group is Immm (No. 71) and the conventional cell measures 3.150, 4.550 and 8.245 Å, with angles of 90.00, 90.00 and 90.00 degrees. Symmetry generates all atoms from Be at (0.000, 0.000, 0.000), W at (0.000, 0.500, 0.267) and Se at (0.000, 0.000, 0.500).

The formation energy (no corrections) is 0.59 eV per atom. The calculation puts the total energy at -7.69 eV per atom.

Number 1: DOS(E_F) 1.109 states/eV per atom, magnetic moment 3.561 μB per formula unit. Number 2: DOS(E_F) 0.819 states/eV per atom, magnetic moment 0.000 μB per formula unit. Number 3: DOS(E_F) 0.456 states/eV per atom, magnetic moment 0.000 μB per formula unit. Number 4: DOS(E_F) 1.028 states/eV per atom, magnetic moment 0.001 μB per formula unit. Number 5: DOS(E_F) 0.000 states/eV per atom, magnetic moment 0.000 μB per formula unit. Number 6: DOS(E_F) 1.311 states/eV per atom, magnetic moment 0.000 μB per formula unit. Number 7: DOS(E_F) 0.770 states/eV per atom, magnetic moment 0.000 μB per formula unit. Number 8: DOS(E_F) 0.526 states/eV per atom, magnetic moment 0.000 μB per formula unit.